1.
The following is a PBE calculation of B7C5 after structural relaxation, from the Alexandria database.

Cell: 5.159 2.563 6.453 Å, 90.00 106.13 90.00°
Space group Pm (No. 6)
Symmetry-distinct sites (fractional):
B: 0.000 0.000 0.000
B: 0.023 0.000 0.716
B: 0.243 0.500 0.459
B: 0.492 0.500 0.831
B: 0.679 0.000 0.459
B: 0.716 0.000 0.756
B: 0.847 0.500 0.126
C: 0.187 0.500 0.681
C: 0.323 0.000 0.125
C: 0.341 0.000 0.367
C: 0.479 0.500 0.089
C: 0.741 0.500 0.319

Properties
* energy of formation: 406.8 meV per atom
* calculated density: 2.75 g/cm3
* magnetic moment: 0.0 Bohr magnetons per cell
* V: 82 Å³/f.u.
* excess energy over the best structure of this formula in the dataset: 242.4 meV/atom



2.
The following is a PBE calculation of BC after structural relaxation, from the Alexandria database.

Cell: 8.672 2.451 4.949 Å, 90.00 90.85 90.00°
Space group C2/m (No. 12)
Symmetry-distinct sites (fractional):
B: 0.111 0.000 0.483
B: 0.182 0.500 0.253
C: 0.088 0.500 0.962
C: 0.129 0.000 0.804

Properties
* energy of formation: 343.3 meV per atom
* calculated density: 2.88 g/cm3
* magnetic moment: 0.0 Bohr magnetons per cell
* V: 13 Å³/f.u.
* excess energy over the best structure of this formula in the dataset: 192.4 meV/atom



3.
The following is a PBE calculation of B3C after structural relaxation, from the Alexandria database.

Cell: 10.856 2.761 5.782 Å, 90.00 101.80 90.00°
Space group Cm (No. 8)
Symmetry-distinct sites (fractional):
B: 0.000 0.000 0.000
B: 0.010 0.500 0.548
B: 0.032 0.000 0.735
B: 0.143 0.000 0.593
B: 0.167 0.000 0.957
B: 0.223 0.500 0.512
B: 0.300 0.500 0.820
B: 0.433 0.000 0.817
B: 0.462 0.000 0.131
C: 0.231 0.500 0.047
C: 0.306 0.500 0.307
C: 0.390 0.000 0.329

Properties
* energy of formation: 384.7 meV per atom
* calculated density: 2.61 g/cm3
* magnetic moment: 0.0 Bohr magnetons per cell
* V: 28 Å³/f.u.
* excess energy over the best structure of this formula in the dataset: 144.1 meV/atom